(1)
TaTeO4 | GGA-PBE | relaxed

Unit cell a=4.9904 b=5.6689 c=5.9915 alpha=105.75 beta=90.00 gamma=90.00
Sites, in units of the cell vectors:
O: 0.3473 0.3689 0.6698
O: 0.7839 0.2529 0.9054
O: 0.7161 0.7529 0.9054
O: 0.8473 0.1311 0.3302
O: 0.2161 0.7471 0.0946
O: 0.6527 0.6311 0.3302
Te: 0.5000 0.0000 0.5000
Ta: 0.0000 0.0000 0.0000
Ta: 0.5000 0.5000 0.0000
O: 0.2839 0.2471 0.0946
Te: 0.0000 0.5000 0.5000
O: 0.1527 0.8689 0.6698

Properties
Density   7.58 g/cm3
Space-group type   P2_1/c
Calculated total energy   -91.5 eV per cell



(2)
TaTeO3 | GGA-PBE | relaxed

Unit cell a=4.1641 b=4.1641 c=4.1641 alpha=90.00 beta=90.00 gamma=90.00
Sites, in units of the cell vectors:
O: 0.5000 0.0000 0.0000
Ta: 0.5000 0.5000 0.5000
Te: 0.0000 0.0000 0.0000
O: 0.0000 0.0000 0.5000
O: 0.0000 0.5000 0.0000

Properties
Density   8.20 g/cm3
Space-group type   Pm-3m
Calculated total energy   -28.8 eV per cell



(3)
TaTeO3 | GGA-PBE | relaxed

Unit cell a=4.0543 b=4.0543 c=4.0543 alpha=90.00 beta=90.00 gamma=90.00
Sites, in units of the cell vectors:
O: 0.5000 0.0000 0.0000
Ta: 0.0000 0.0000 0.0000
Te: 0.5000 0.5000 0.5000
O: 0.0000 0.5000 0.0000
O: 0.0000 0.0000 0.5000

Properties
Density   8.88 g/cm3
Space-group type   Pm-3m
Calculated total energy   -37.1 eV per cell



(4)
Ta3TeO | GGA-PBE | relaxed

Unit cell a=4.3315 b=4.3315 c=4.3315 alpha=90.00 beta=90.00 gamma=90.00
Sites, in units of the cell vectors:
Ta: 0.0000 0.0000 0.5000
O: 0.0000 0.0000 0.0000
Ta: 0.0000 0.5000 0.0000
Te: 0.5000 0.5000 0.5000
Ta: 0.5000 0.0000 0.0000

Properties
Density   14.03 g/cm3
Space-group type   Pm-3m
Excess energy over the best structure of this formula in the dataset   0 meV per atom
Calculated total energy   -45.1 eV per cell



(5)
TaTeO2 | GGA-PBE | relaxed

Unit cell a=6.1612 b=6.1612 c=6.1633 alpha=60.01 beta=60.01 gamma=90.00
Sites, in units of the cell vectors:
Ta: 0.7500 0.2500 0.5000
O: 0.8750 0.6250 0.2500
Te: 0.5000 0.5000 0.0000
O: 0.8750 0.1250 0.7500
Te: 0.2500 0.7500 0.5000
O: 0.3750 0.1250 0.7500
Ta: 0.0000 0.0000 0.0000
O: 0.8750 0.1250 0.2500

Properties
Density   6.83 g/cm3
Space-group type   Fd-3m
Calculated total energy   -62.7 eV per cell



(6)
TaTeO6 | GGA-PBE | relaxed

Unit cell a=5.4828 b=5.4828 c=5.4828 alpha=59.97 beta=59.97 gamma=59.97
Sites, in units of the cell vectors:
Ta: 0.5000 0.5000 0.5000
O: 0.2463 0.7538 0.2461
O: 0.2462 0.7539 0.7537
O: 0.2461 0.2463 0.7538
O: 0.7537 0.2462 0.7539
O: 0.7539 0.7537 0.2462
O: 0.7538 0.2461 0.2463
Te: 0.0000 0.0000 0.0000

Properties
Density   5.77 g/cm3
Space-group type   Fm-3m
Excess energy over the best structure of this formula in the dataset   0 meV per atom
Calculated total energy   -57.1 eV per cell